1.
VASP calculation (GGA-PBE) on an optimized crystal structure of Th3TcSn.

abc: 6.2596 6.2596 10.7013
angles: 90.00 90.00 136.94
With the nearest neighbours (Å) after each atom.
Fractional coordinates of all 10 atoms:
Th 0.0527 0.9473 0.7500  2 Tc 2.74
Th 0.3491 0.6509 0.5416  2 Tc 2.93
Th 0.3491 0.6509 0.9584  2 Tc 2.93
Th 0.6509 0.3491 0.0416  2 Tc 2.93
Th 0.6509 0.3491 0.4584  2 Tc 2.93
Th 0.9473 0.0527 0.2500  2 Tc 2.74
Tc 0.0000 0.0000 0.0000  6 Th 2.74-2.93
Tc 0.0000 0.0000 0.5000  6 Th 2.74-2.93
Sn 0.2404 0.7596 0.2500  9 Th 3.33-3.41
Sn 0.7596 0.2404 0.7500  9 Th 3.33-3.41

Energy above the most stable polymorph in this dataset (eV per atom): 0.000
N(E_F) (states/eV/f.u.): 4.71
Space group: No. 63
Formation energy (kJ/mol of atoms): -29

2.
VASP calculation (GGA-PBE) on an optimized crystal structure of Er4TiZn5.

abc: 3.4591 3.4591 17.3052
angles: 90.00 90.00 90.00
With the nearest neighbours (Å) after each atom.
Fractional coordinates of all 10 atoms:
Er 0.0000 0.0000 0.1049  8 Zn 3.04-3.05
Er 0.0000 0.0000 0.3132  8 Zn 3.04-3.07, 1 Ti 3.23
Er 0.0000 0.0000 0.6868  8 Zn 3.04-3.07, 1 Ti 3.23
Er 0.0000 0.0000 0.8951  8 Zn 3.04-3.05
Ti 0.0000 0.0000 0.5000  8 Zn 2.81
Zn 0.5000 0.5000 0.0000  8 Er 3.05
Zn 0.5000 0.5000 0.2093  8 Er 3.04
Zn 0.5000 0.5000 0.4206  1 Zn 2.75, 4 Ti 2.81, 4 Er 3.07
Zn 0.5000 0.5000 0.5794  1 Zn 2.75, 4 Ti 2.81, 4 Er 3.07
Zn 0.5000 0.5000 0.7907  8 Er 3.04

N(E_F) (states/eV/f.u.): 11.01
Space group: No. 123
Formation energy (kJ/mol of atoms): -27

Question: What is the formation energy in the second record?
Answer: -27 kJ/mol of atoms

Question: Which value of N(E_F) does entry 1 give?
Answer: 4.71 states/eV/f.u.

Question: The highest N(E_F) belongs to which entry?
Answer: Er4TiZn5

Question: What is the formula in the second record?
Answer: Er4TiZn5